Here is a relaxed structure of CsBiP from the Alexandria database. Energies are from PBE.

Results
- Crystal system: triclinic
- SG: P1

Cell and atoms, written as POSCAR:
```
CsBiP
1.0
5.8233 -0.0182 0.0192
-0.3938 6.4924 -0.0198
-2.7766 -2.3318 6.5090
Cs Bi P
2 2 2
Cartesian
1.3566 1.3455 1.3009 Cs
1.1832 2.4789 6.2231 Cs
-1.6695 2.9283 3.4393 Bi
-1.2821 -0.1623 4.0111 Bi
1.3503 -0.7414 4.7037 P
0.3120 4.7530 2.8884 P
```

***

Here is a relaxed structure of Cs3BiP from the Alexandria database. Energies are from PBE.

Results
- Crystal system: cubic
- SG: Pm-3m

Cell and atoms, written as POSCAR:
```
Cs3BiP
1.0
6.7912 0.0000 0.0000
0.0000 6.7912 0.0000
0.0000 0.0000 6.7912
Cs Bi P
3 1 1
Cartesian
0.0000 3.3956 0.0000 Cs
0.0000 0.0000 3.3956 Cs
3.3956 0.0000 0.0000 Cs
3.3956 3.3956 3.3956 Bi
0.0000 0.0000 0.0000 P
```

***

Here is a relaxed structure of CsBiP from the Alexandria database. Energies are from PBE.

Results
- Crystal system: monoclinic
- SG: Cm

Cell and atoms, written as POSCAR:
```
CsBiP
1.0
-3.3337 4.9440 -3.5957
-4.6279 -4.3721 -1.7208
-4.6760 -0.2071 13.1013
Bi P Cs
4 4 4
Cartesian
-4.0992 0.2847 3.5945 Bi
-6.2953 0.3152 10.1979 Bi
-6.2712 -1.7673 2.7868 Bi
-8.7511 -2.0049 9.2847 Bi
-8.3236 1.1750 -1.8154 P
-9.8344 1.8529 5.0429 P
-5.1825 4.1425 -0.6474 P
-8.3477 3.2575 5.5957 P
-5.3351 4.2835 3.4649 Cs
-5.3111 2.2010 -3.9462 Cs
-2.2969 2.1917 0.6089 Cs
-6.9489 -0.0979 6.2991 Cs
```

***

Here is a relaxed structure of CsBiP from the Alexandria database. Energies are from PBE.

Results
- Crystal system: monoclinic
- SG: Pm

Cell and atoms, written as POSCAR:
```
CsBiP
1.0
5.6072 0.0000 0.1810
0.0000 6.7610 0.0000
-1.6313 0.0000 6.4938
Bi P Cs
2 2 2
Cartesian
2.8217 5.0762 3.9342 Bi
2.8217 1.6847 3.9342 Bi
0.0738 1.0493 3.5851 P
0.0738 5.7117 3.5851 P
2.0496 0.0000 0.4345 Cs
5.3124 3.3805 1.1188 Cs
```

***

Here is a relaxed structure of CsBiP from the Alexandria database. Energies are from PBE.

Results
- Crystal system: monoclinic
- SG: C2/m

Cell and atoms, written as POSCAR:
```
CsBiP
1.0
-4.8051 2.7667 -1.1502
-3.3197 -6.7232 -2.3034
-2.6619 -2.4673 11.0378
Bi Cs P
4 4 4
Cartesian
-6.0311 -4.5035 3.3495 Bi
-4.7556 -1.9203 4.2346 Bi
-5.0845 -4.0483 -2.4360 Bi
-3.0403 0.0917 -1.0176 Bi
-8.0726 -2.8466 6.5870 Cs
-2.3853 -1.4492 7.6676 Cs
-5.0818 1.7487 2.2199 Cs
-2.7142 -3.5772 0.9970 Cs
-0.4437 -0.8987 -0.3079 P
-3.4345 -5.4939 4.0593 P
-2.8760 -5.8246 -1.9956 P
-2.5471 -3.6966 4.6750 P
```

***

Here is a relaxed structure of CsBiP3 from the Alexandria database. Energies are from PBE.

Results
- Crystal system: cubic
- SG: Pm-3m

Cell and atoms, written as POSCAR:
```
CsBiP3
1.0
-0.5571 5.3200 -0.6246
-2.5535 -0.8157 -4.6708
-4.7087 -0.1870 2.6069
Cs Bi P
1 1 3
Cartesian
0.0000 0.0000 0.0000 Cs
-3.9096 2.1586 -1.3443 Bi
-2.3543 -0.0935 1.3034 P
-0.2785 2.6600 -0.3123 P
-1.2768 -0.4079 -2.3354 P
```

***

Here is a relaxed structure of CsBiP from the Alexandria database. Energies are from PBE.

Results
- Crystal system: orthorhombic
- SG: Imm2

Cell and atoms, written as POSCAR:
```
CsBiP
1.0
-11.4730 -1.4393 2.8412
1.7538 -3.4019 5.3587
0.1792 6.0996 3.8136
Bi Cs P
4 4 4
Cartesian
1.3749 0.2296 5.6683 Bi
0.5399 1.8492 3.1172 Bi
-5.1490 4.2608 6.3163 Bi
-4.2301 2.4784 9.1239 Bi
-1.4148 -1.6795 3.4430 Cs
-7.9386 2.3516 4.0910 Cs
-3.3370 2.9289 2.9515 Cs
-8.2863 -2.5416 5.1446 Cs
0.4243 4.3170 3.9004 P
-4.5249 -1.1535 6.0936 P
1.6152 2.0070 7.5391 P
-5.0878 -0.0615 4.3735 P
```

***

Here is a relaxed structure of CsBi2P from the Alexandria database. Energies are from PBE.

Results
- Crystal system: tetragonal
- SG: I-42d

Cell and atoms, written as POSCAR:
```
CsBi2P
1.0
8.6939 0.0000 0.0000
0.0000 8.6939 0.0000
4.3470 4.3470 4.3475
Bi Cs P
4 2 2
Cartesian
10.8674 9.8716 3.2606 Bi
5.5246 2.1735 1.0869 Bi
3.1693 6.5205 1.0869 Bi
6.5205 7.5163 3.2606 Bi
8.6939 4.3470 2.1737 Cs
0.0000 0.0000 0.0000 Cs
4.3470 8.6939 2.1737 P
4.3470 4.3470 0.0000 P
```

***

no.,energy (eV per atom)
1,-3.581
2,-2.256
3,-3.611
4,-3.579
5,-3.621
6,-2.281
7,-3.616
8,-3.471